(1)
Compound: V7P2C2
Source: Alexandria
Functional: PBE-GGA
Structure: relaxed

Properties
- ΔE_f (meV/atom) = -560

Structure (POSCAR):
```
V7P2C2
1.0
-0.812 -1.689 -2.385
-3.605 -5.267 3.027
-7.052 0.129 0.382
V P C
7 2 2
direct
0.184 0.713 0.919
0.500 0.011 0.989
0.843 0.432 0.882
0.372 0.734 0.521
0.628 0.479 0.266
0.157 0.118 0.568
0.816 0.081 0.287
0.500 0.349 0.651
0.000 0.752 0.248
0.254 0.338 0.155
0.746 0.845 0.662
```

***

(2)
Compound: CdAgAsBr2
Source: Alexandria
Functional: PBE-GGA
Structure: relaxed

Properties
- ΔE to the lowest computed polymorph (eV/f.u.) = 0.00
- formation energy without anion corrections (eV per atom) = 0.297

Structure (POSCAR):
```
CdAgAsBr2
1.0
5.338 0.000 0.000
0.000 5.338 0.000
0.000 0.000 5.221
As Br Cd Ag
1 2 1 1
direct
0.000 0.000 0.500
0.000 0.500 0.000
0.500 0.000 0.000
0.500 0.500 0.500
0.000 0.000 0.000
```

***

(3)
Compound: CoSi2Au
Source: Alexandria
Functional: PBE-GGA
Structure: relaxed

Properties
- ΔE to the lowest computed polymorph (eV/f.u.) = 0.98
- formation energy without anion corrections (eV per atom) = 0.122

Structure (POSCAR):
```
CoSi2Au
1.0
2.831 0.000 0.000
0.000 2.831 0.000
0.000 0.000 7.090
Co Si Au
1 2 1
direct
0.500 0.500 0.804
0.500 0.500 0.208
0.000 0.000 0.965
0.000 0.000 0.523
```

***

(4)
Compound: Ce2NdCu4
Source: Alexandria
Functional: PBE-GGA
Structure: relaxed

Properties
- ΔE_f (meV/atom) = -120

Structure (POSCAR):
```
Ce2NdCu4
1.0
-2.729 -0.704 -3.225
-0.964 -4.011 -1.153
-7.963 -1.592 4.241
Cu Ce Nd
4 2 1
direct
0.593 0.593 0.221
0.407 0.407 0.779
0.742 0.742 0.775
0.258 0.258 0.225
0.138 0.138 0.586
0.862 0.862 0.414
0.000 0.000 0.000
```

***

(5)
Compound: Mg4Os
Source: Alexandria
Functional: PBE-GGA
Structure: relaxed

Properties
- ΔE to the lowest computed polymorph (eV/f.u.) = 0.00
- ΔE_f (meV/atom) = 96

Structure (POSCAR):
```
Mg4Os
1.0
-3.299 3.299 2.081
3.299 -3.299 2.081
3.299 3.299 -2.081
Mg Os
4 1
direct
0.216 0.610 0.826
0.390 0.216 0.605
0.784 0.390 0.174
0.610 0.784 0.395
0.000 0.000 0.000
```

***

(6)
Compound: Ba2CaZn
Source: Alexandria
Functional: PBE-GGA
Structure: relaxed

Properties
- ΔE_f (meV/atom) = 46

Structure (POSCAR):
```
Ba2CaZn
1.0
12.054 0.007 0.004
11.307 4.179 0.004
11.307 2.026 3.654
Ca Ba Zn
1 2 1
direct
0.750 0.750 0.750
0.516 0.516 0.516
0.984 0.984 0.984
0.250 0.250 0.250
```

***

(7)
Compound: Y3Mg2Tc
Source: Alexandria
Functional: PBE-GGA
Structure: relaxed

Properties
- ΔE_f (meV/atom) = -80

Structure (POSCAR):
```
Y3Mg2Tc
1.0
5.074 0.000 0.022
2.537 7.545 0.011
-0.034 0.000 7.908
Tc Y Mg
2 6 4
direct
0.660 0.680 0.000
0.340 0.320 0.000
0.825 0.350 0.789
0.500 0.000 0.220
0.825 0.350 0.211
0.500 0.000 0.780
0.175 0.650 0.789
0.175 0.650 0.211
0.335 0.331 0.500
0.000 0.000 0.000
0.000 0.000 0.500
0.665 0.669 0.500
```

***

(8)
Compound: Ba6PdS2I3
Source: Alexandria
Functional: PBE-GGA
Structure: relaxed

Properties
- formation energy without anion corrections (eV per atom) = -1.451

Structure (POSCAR):
```
Ba6PdS2I3
1.0
8.163 0.000 -0.003
-4.079 7.071 -0.003
-1.365 -2.364 8.307
Ba S I Pd
6 2 3 1
direct
0.402 0.068 0.203
0.598 0.932 0.797
0.267 0.267 0.797
0.932 0.598 0.797
0.068 0.402 0.203
0.733 0.733 0.203
0.333 0.667 0.000
0.667 0.333 0.000
0.500 0.500 0.500
0.168 0.832 0.500
0.832 0.168 0.500
0.000 0.000 0.000
```

***

(9)
Compound: LiNd3In2
Source: Alexandria
Functional: PBE-GGA
Structure: relaxed

Properties
- ΔE to the lowest computed polymorph (eV/f.u.) = 0.00
- ΔE_f (meV/atom) = -343

Structure (POSCAR):
```
LiNd3In2
1.0
-0.541 1.062 5.325
3.886 -3.423 -1.718
8.519 10.266 -1.181
Nd In Li
6 4 2
direct
0.333 0.667 0.418
0.000 0.000 0.249
0.333 0.667 0.917
0.000 0.000 0.751
0.667 0.333 0.083
0.667 0.333 0.582
0.667 0.333 0.825
0.000 0.000 0.500
0.333 0.667 0.175
0.000 0.000 0.000
0.667 0.333 0.331
0.333 0.667 0.669
```

***

(10)
Compound: Li2CoHgN
Source: Alexandria
Functional: PBE-GGA
Structure: relaxed

Properties
- formation energy without anion corrections (eV per atom) = -0.283

Structure (POSCAR):
```
Li2CoHgN
1.0
-3.668 -0.670 -2.137
2.050 -2.654 -2.688
-0.733 -2.698 2.105
Hg Li Co N
1 2 1 1
direct
0.500 0.500 0.500
0.000 0.500 0.000
0.500 0.000 0.000
0.000 0.000 0.500
0.000 0.000 0.000
```

***

(11)
Compound: Tb2PrPaN4
Source: Alexandria
Functional: PBE-GGA
Structure: relaxed

Properties
- formation energy without anion corrections (eV per atom) = -1.580

Structure (POSCAR):
```
Tb2PrPaN4
1.0
-1.754 -0.819 2.980
5.337 -1.302 2.783
-1.319 5.889 0.842
Tb Pa N Pr
2 1 4 1
direct
0.000 0.500 0.500
0.500 0.000 0.500
0.000 0.000 0.000
0.500 0.231 0.243
0.000 0.776 0.246
0.500 0.769 0.757
0.000 0.224 0.754
0.500 0.500 0.000
```

***

(12)
Compound: MgAu
Source: Alexandria
Functional: PBE-GGA
Structure: relaxed

Properties
- ΔE_f (meV/atom) = -196

Structure (POSCAR):
```
MgAu
1.0
-6.522 3.906 -5.404
-6.369 1.032 -6.736
-8.198 1.503 -4.188
Au Mg
2 2
direct
0.001 0.001 0.001
0.249 0.249 0.249
0.508 0.508 0.508
0.742 0.742 0.742
```

***

Number 1: magnetic moment 0.0 μB per formula unit, D(E_F) 0.57 states/eV/atom. Number 2: magnetic moment 1.4 μB per formula unit, D(E_F) 0.61 states/eV/atom. Number 3: magnetic moment 0.0 μB per formula unit, D(E_F) 0.29 states/eV/atom. Number 4: magnetic moment 0.0 μB per formula unit, D(E_F) 1.53 states/eV/atom. Number 5: magnetic moment 0.0 μB per formula unit, D(E_F) 0.24 states/eV/atom. Number 6: magnetic moment 0.0 μB per formula unit, D(E_F) 1.66 states/eV/atom. Number 7: magnetic moment 0.0 μB per formula unit, D(E_F) 1.07 states/eV/atom. Number 8: magnetic moment 2.4 μB per formula unit, D(E_F) 0.65 states/eV/atom. Number 9: magnetic moment 0.0 μB per formula unit, D(E_F) 1.12 states/eV/atom. Number 10: magnetic moment 0.4 μB per formula unit, D(E_F) 0.72 states/eV/atom. Number 11: magnetic moment 0.0 μB per formula unit, D(E_F) 0.46 states/eV/atom. Number 12: magnetic moment 0.0 μB per formula unit, D(E_F) 0.41 states/eV/atom.